Pm2PbI (PBE-GGA, optimized geometry); symmetry = No. 225; magnetic moment = 0.00 μB/f.u.; total energy = -4.32 eV/atom
1.0
-1.373 -2.021 -4.996
-4.487 -3.238 -0.552
-4.507 1.919 -2.633
I Pm Pb
1 2 1
Direct
0.500 0.500 0.500
0.250 0.250 0.250
0.750 0.750 0.750
0.000 0.000 0.000

Pm2PbI (PBE-GGA, optimized geometry); symmetry = No. 123; magnetic moment = 0.00 μB/f.u.; total energy = -4.35 eV/atom
1.0
-0.345 2.229 -2.966
-3.370 -1.435 -0.686
-3.554 5.994 4.919
Pm Pb I
2 1 1
Direct
0.000 0.000 0.251
0.000 0.000 0.749
0.500 0.500 0.500
0.500 0.500 0.000

PmPrPbI (PBE-GGA, optimized geometry); symmetry = No. 216; magnetic moment = 0.00 μB/f.u.; total energy = -4.34 eV/atom
1.0
-2.758 -0.697 4.818
1.791 -3.767 3.729
2.298 1.699 4.810
I Pb Pm Pr
1 1 1 1
Direct
0.250 0.250 0.250
0.750 0.750 0.750
0.500 0.500 0.500
0.000 0.000 0.000

RbPmPbI6 (PBE-GGA, optimized geometry); symmetry = No. 163; magnetic moment = 0.00 μB/f.u.; total energy = -3.27 eV/atom
1.0
-2.034 -3.692 -7.085
-1.041 -3.957 7.157
-14.859 5.983 1.148
I Pb Pm Rb
12 2 2 2
Direct
0.988 0.364 0.136
0.623 0.988 0.864
0.635 0.012 0.364
0.623 0.636 0.636
0.365 0.988 0.636
0.365 0.377 0.864
0.635 0.623 0.136
0.988 0.623 0.364
0.012 0.636 0.864
0.012 0.377 0.636
0.377 0.364 0.364
0.377 0.012 0.136
0.333 0.667 0.250
0.667 0.333 0.750
0.333 0.667 0.750
0.667 0.333 0.250
0.000 0.000 0.500
0.000 0.000 0.000

Pm6Si2PbI3 (PBE-GGA, optimized geometry); symmetry = No. 12; magnetic moment = 0.00 μB/f.u.; total energy = -4.86 eV/atom
1.0
-1.383 -1.032 4.022
4.917 -7.742 -0.295
6.696 7.417 1.824
I Pm Pb Si
3 6 1 2
Direct
0.836 0.164 0.672
0.500 0.500 0.000
0.164 0.836 0.328
0.019 0.247 0.039
0.981 0.753 0.961
0.665 0.134 0.331
0.321 0.440 0.641
0.679 0.560 0.359
0.335 0.866 0.669
0.500 0.000 0.000
0.831 0.658 0.662
0.169 0.342 0.338

PmSmPbI (PBE-GGA, optimized geometry); symmetry = No. 216; magnetic moment = 0.00 μB/f.u.; total energy = -4.30 eV/atom
1.0
-2.595 4.840 -0.808
-2.853 0.872 -4.681
-5.544 0.233 0.132
Sm Pb Pm I
1 1 1 1
Direct
0.250 0.250 0.250
0.500 0.500 0.500
0.750 0.750 0.750
0.000 0.000 0.000

TbPmPbI (PBE-GGA, optimized geometry); symmetry = No. 216; magnetic moment = 0.00 μB/f.u.; total energy = -4.24 eV/atom
1.0
5.518 0.000 0.000
2.759 4.779 0.000
2.759 1.593 4.505
I Pm Tb Pb
1 1 1 1
Direct
0.000 0.000 0.000
0.750 0.750 0.750
0.250 0.250 0.250
0.500 0.500 0.500

PmTlPbI6 (PBE-GGA, optimized geometry); symmetry = No. 163; magnetic moment = 0.00 μB/f.u.; total energy = -3.23 eV/atom
1.0
8.155 0.000 0.000
-4.078 7.063 0.000
0.000 0.000 15.243
I Pm Pb Tl
12 2 2 2
Direct
0.988 0.354 0.131
0.634 0.988 0.869
0.354 0.988 0.631
0.646 0.012 0.369
0.366 0.012 0.131
0.354 0.366 0.869
0.646 0.634 0.131
0.634 0.646 0.631
0.366 0.354 0.369
0.988 0.634 0.369
0.012 0.366 0.631
0.012 0.646 0.869
0.667 0.333 0.250
0.333 0.667 0.750
0.667 0.333 0.750
0.333 0.667 0.250
0.000 0.000 0.500
0.000 0.000 0.000

PmTmPbI (PBE-GGA, optimized geometry); symmetry = No. 216; magnetic moment = 0.00 μB/f.u.; total energy = -4.14 eV/atom
1.0
-4.831 -2.538 0.585
-0.712 -3.650 4.037
-3.241 1.216 4.259
Pb Pm Tm I
1 1 1 1
Direct
0.500 0.500 0.500
0.250 0.250 0.250
0.750 0.750 0.750
0.000 0.000 0.000

Pr3Pb2I2 (PBE-GGA, optimized geometry); symmetry = No. 12; magnetic moment = 0.00 μB/f.u.; total energy = -4.28 eV/atom
1.0
4.472 -0.004 0.002
-2.226 7.598 -0.232
-0.003 -1.401 8.097
Pb I Pr
2 2 3
Direct
0.381 0.762 0.133
0.619 0.238 0.867
0.873 0.746 0.619
0.127 0.254 0.381
0.000 0.000 0.000
0.250 0.501 0.767
0.750 0.499 0.233

Pr2PbI (PBE-GGA, optimized geometry); symmetry = No. 160; magnetic moment = 0.00 μB/f.u.; total energy = -4.45 eV/atom
1.0
4.548 0.000 0.000
2.274 3.938 0.000
2.274 1.313 8.008
Pb I Pr
1 1 2
Direct
0.668 0.668 0.996
0.498 0.498 0.505
0.261 0.261 0.217
0.073 0.073 0.782

Pr2PbI (PBE-GGA, optimized geometry); symmetry = No. 166; magnetic moment = 0.00 μB/f.u.; total energy = -4.30 eV/atom
1.0
-2.100 3.020 -1.021
-3.085 -0.475 -2.198
-7.548 -0.349 7.355
Pr Pb I
2 1 1
Direct
0.752 0.752 0.744
0.248 0.248 0.256
0.000 0.000 0.000
0.500 0.500 0.500

Pr4PbI5 (PBE-GGA, optimized geometry); symmetry = No. 12; magnetic moment = 0.00 μB/f.u.; total energy = -4.18 eV/atom
1.0
-0.343 3.781 -2.318
-8.144 1.861 4.240
6.582 2.433 7.264
I Pr Pb
5 4 1
Direct
0.169 0.815 0.338
0.831 0.185 0.662
0.500 0.500 0.000
0.168 0.324 0.337
0.832 0.676 0.663
0.998 0.768 0.997
0.002 0.232 0.003
0.340 0.932 0.680
0.660 0.068 0.320
0.500 0.000 0.000

Pr2PbI (PBE-GGA, optimized geometry); symmetry = No. 225; magnetic moment = 0.00 μB/f.u.; total energy = -4.37 eV/atom
1.0
5.628 0.000 0.000
2.814 4.874 0.000
2.814 1.625 4.595
I Pr Pb
1 2 1
Direct
0.000 0.000 0.000
0.250 0.250 0.250
0.750 0.750 0.750
0.500 0.500 0.500

Pr4PbI (PBE-GGA, optimized geometry); symmetry = No. 2; magnetic moment = 0.00 μB/f.u.; total energy = -4.37 eV/atom
1.0
-5.528 -3.608 1.482
3.040 -7.111 -0.635
3.464 3.977 7.860
Pr I Pb
8 2 2
Direct
0.778 0.347 0.694
0.222 0.653 0.306
0.048 0.098 0.240
0.952 0.902 0.760
0.691 0.414 0.132
0.448 0.031 0.812
0.309 0.586 0.868
0.552 0.969 0.188
0.000 0.500 0.500
0.500 0.000 0.500
0.828 0.715 0.979
0.172 0.285 0.021

Pr2PbI (PBE-GGA, optimized geometry); symmetry = No. 164; magnetic moment = 0.00 μB/f.u.; total energy = -4.41 eV/atom
1.0
4.503 0.002 0.000
2.249 3.901 -0.001
0.000 0.002 8.208
I Pr Pb
1 2 1
Direct
0.674 0.107 0.920
0.007 0.440 0.202
0.340 0.773 0.637
0.674 0.107 0.420

Pr3PbI2 (PBE-GGA, optimized geometry); symmetry = No. 63; magnetic moment = 0.95 μB/f.u.; total energy = -4.11 eV/atom
1.0
6.319 0.000 0.000
0.000 8.366 1.680
0.000 -2.634 8.116
Pr Pb I
6 2 4
Direct
0.993 0.485 0.857
0.993 0.147 0.147
0.493 0.143 0.515
0.493 0.853 0.853
0.993 0.857 0.485
0.493 0.515 0.143
0.993 0.861 0.861
0.493 0.139 0.139
0.993 0.535 0.230
0.493 0.465 0.770
0.493 0.770 0.465
0.993 0.230 0.535

Pr2PbI (PBE-GGA, optimized geometry); symmetry = No. 123; magnetic moment = 0.00 μB/f.u.; total energy = -4.41 eV/atom
1.0
-3.081 -2.174 -0.056
2.128 -2.994 -0.853
1.027 -1.674 8.433
Pb I Pr
1 1 2
Direct
0.500 0.500 0.500
0.500 0.500 0.000
0.000 0.000 0.748
0.000 0.000 0.252

Pr4Pb2I3 (PBE-GGA, optimized geometry); symmetry = No. 164; magnetic moment = 0.00 μB/f.u.; total energy = -4.41 eV/atom
1.0
2.306 -3.995 0.000
2.306 3.995 0.000
0.000 0.000 18.892
Pb Pr I
2 4 3
Direct
0.333 0.667 0.201
0.667 0.333 0.799
0.000 0.000 0.704
0.333 0.667 0.889
0.000 0.000 0.296
0.667 0.333 0.111
0.667 0.333 0.399
0.333 0.667 0.601
0.000 0.000 0.000

RbPrPbI6 (PBE-GGA, optimized geometry); symmetry = No. 163; magnetic moment = 0.00 μB/f.u.; total energy = -3.27 eV/atom
1.0
8.288 0.000 0.000
-4.144 7.177 0.000
0.000 0.000 16.094
Rb Pb I Pr
2 2 12 2
Direct
0.000 0.000 0.000
0.000 0.000 0.500
0.667 0.333 0.750
0.333 0.667 0.250
0.376 0.009 0.135
0.991 0.624 0.365
0.367 0.376 0.865
0.009 0.376 0.635
0.624 0.633 0.635
0.367 0.991 0.635
0.009 0.633 0.865
0.633 0.624 0.135
0.376 0.367 0.365
0.633 0.009 0.365
0.624 0.991 0.865
0.991 0.367 0.135
0.667 0.333 0.250
0.333 0.667 0.750

Pr4PbSeI2 (PBE-GGA, optimized geometry); symmetry = No. 10; magnetic moment = 0.00 μB/f.u.; total energy = -4.75 eV/atom
1.0
-0.402 3.487 2.793
3.206 -4.164 5.660
5.897 3.957 -4.091
I Pr Pb Se
2 4 1 1
Direct
0.000 0.500 0.500
0.500 0.000 0.500
0.500 0.737 0.789
0.000 0.714 0.201
0.000 0.286 0.799
0.500 0.263 0.211
0.000 0.000 0.000
0.500 0.500 0.000

Pr8Si3PbI4 (PBE-GGA, optimized geometry); symmetry = No. 166; magnetic moment = 0.00 μB/f.u.; total energy = -4.93 eV/atom
1.0
8.872 0.000 0.000
0.000 9.295 0.297
-4.436 -4.433 6.274
Si I Pr Pb
3 4 8 1
Direct
0.500 0.500 0.500
0.000 0.500 0.500
0.500 0.500 0.000
0.500 0.000 0.000
0.000 0.000 0.500
0.000 0.000 0.000
0.500 0.000 0.500
0.243 0.704 0.486
0.757 0.296 0.514
0.243 0.704 0.961
0.268 0.303 0.536
0.283 0.296 0.039
0.732 0.697 0.464
0.717 0.704 0.961
0.757 0.296 0.039
0.000 0.500 0.000

PrTlPb2I8 (PBE-GGA, optimized geometry); symmetry = No. 10; magnetic moment = 0.00 μB/f.u.; total energy = -3.12 eV/atom
1.0
7.911 0.020 -0.005
0.071 7.417 -0.007
0.007 0.013 9.752
I Pr Tl Pb
8 1 1 2
Direct
0.639 0.736 0.500
0.844 0.250 0.229
0.844 0.250 0.771
0.331 0.243 0.000
0.156 0.750 0.771
0.669 0.757 0.000
0.156 0.750 0.229
0.361 0.264 0.500
0.000 0.000 0.000
0.000 0.000 0.500
0.500 0.500 0.254
0.500 0.500 0.746

PtPbI4 (PBE-GGA, optimized geometry); symmetry = No. 82; magnetic moment = 0.00 μB/f.u.; total energy = -2.96 eV/atom
1.0
-5.463 -2.425 -3.421
4.463 2.062 -4.822
2.755 -4.825 4.068
I Pb Pt
4 1 1
Direct
0.249 0.329 0.530
0.281 0.751 0.080
0.671 0.200 0.920
0.800 0.719 0.470
0.750 0.250 0.500
0.500 0.500 0.000